Model one:
Below is a relaxed TlGeTeI2 crystal, with properties calculated at the PBE-GGA level.

Computed properties:
- Fermi-level density of states: 2.910 states/eV/cell
- Total magnetic moment: 0.064 μB per atom
- Mass density: 5.2 g cm⁻³
- Crystal system: tetragonal

Cell: 5.962 5.962 5.894 Å, 90.00 90.00 90.00°
Space group P4/mmm (No. 123)
Unique sites:
Tl  0.000  0.000  0.000 (multiplicity 1)
Ge  0.500  0.500  0.500 (multiplicity 1)
Te  0.000  0.000  0.500 (multiplicity 1)
I  0.000  0.500  0.000 (multiplicity 2)

***

Model two:
Below is a relaxed TlGeTeI2 crystal, with properties calculated at the PBE-GGA level.

Computed properties:
- Fermi-level density of states: 5.507 states/eV/cell
- Total magnetic moment: 0.001 μB per atom
- Mass density: 5.7 g cm⁻³
- Crystal system: tetragonal

Cell: 5.887 5.887 5.560 Å, 90.00 90.00 90.00°
Space group P4/mmm (No. 123)
Unique sites:
Tl  0.000  0.000  0.000 (multiplicity 1)
Ge  0.500  0.500  0.500 (multiplicity 1)
Te  0.500  0.500  0.000 (multiplicity 1)
I  0.000  0.500  0.500 (multiplicity 2)

***

The structure with the greatest stability is model two.

***

Model one:
Below is a relaxed VGeTeI2 crystal, with properties calculated at the PBE-GGA level.

Computed properties:
- Fermi-level density of states: 2.989 states/eV/cell
- Total magnetic moment: 0.674 μB per atom
- Mass density: 4.7 g cm⁻³
- Crystal system: tetragonal

Cell: 5.628 5.628 5.601 Å, 90.00 90.00 90.00°
Space group P4/mmm (No. 123)
Unique sites:
V  0.000  0.000  0.000 (multiplicity 1)
Ge  0.500  0.500  0.500 (multiplicity 1)
Te  0.500  0.500  0.000 (multiplicity 1)
I  0.000  0.500  0.500 (multiplicity 2)

***

Model two:
Below is a relaxed VGeTeI2 crystal, with properties calculated at the PBE-GGA level.

Computed properties:
- Fermi-level density of states: 3.060 states/eV/cell
- Total magnetic moment: 0.606 μB per atom
- Mass density: 5.2 g cm⁻³
- Crystal system: tetragonal

Cell: 5.442 5.442 5.399 Å, 90.00 90.00 90.00°
Space group P4/mmm (No. 123)
Unique sites:
V  0.000  0.000  0.000 (multiplicity 1)
Ge  0.500  0.500  0.500 (multiplicity 1)
Te  0.000  0.000  0.500 (multiplicity 1)
I  0.000  0.500  0.000 (multiplicity 2)

***

The structure with the greatest stability is model two.

***

Model one:
Below is a relaxed ZnGeTeI2 crystal, with properties calculated at the PBE-GGA level.

Computed properties:
- Fermi-level density of states: 4.244 states/eV/cell
- Total magnetic moment: 0.000 μB per atom
- Mass density: 4.7 g cm⁻³
- Crystal system: tetragonal

Cell: 5.718 5.718 5.562 Å, 90.00 90.00 90.00°
Space group P4/mmm (No. 123)
Unique sites:
Zn  0.000  0.000  0.000 (multiplicity 1)
Ge  0.500  0.500  0.500 (multiplicity 1)
Te  0.500  0.500  0.000 (multiplicity 1)
I  0.000  0.500  0.500 (multiplicity 2)

***

Model two:
Below is a relaxed ZnGeTeI2 crystal, with properties calculated at the PBE-GGA level.

Computed properties:
- Fermi-level density of states: 3.742 states/eV/cell
- Total magnetic moment: 0.000 μB per atom
- Mass density: 5.3 g cm⁻³
- Crystal system: tetragonal

Cell: 5.428 5.428 5.563 Å, 90.00 90.00 90.00°
Space group P4/mmm (No. 123)
Unique sites:
Zn  0.000  0.000  0.000 (multiplicity 1)
Ge  0.500  0.500  0.500 (multiplicity 1)
Te  0.000  0.000  0.500 (multiplicity 1)
I  0.000  0.500  0.000 (multiplicity 2)

***

The structure with the greatest stability is model one.